(1)
Compound: MgBeP
Source: the Alexandria database
Functional: PBE
Structure: optimized geometry

Computed properties:
E above lowest polymorph ... 0.475 eV/atom
Density of states at the Fermi level ... 1.0 states/eV per cell
Energy of formation ... 0.13 eV/atom

Cell lengths 4.975, 4.975, 4.975 Å; angles 142.83, 142.83, 53.58 degrees
Fractional coordinates of all 3 atoms:
Mg (0.331, 0.331, 0.000)
P (0.623, 0.623, 0.000)
Be (0.046, 0.046, 0.000)

(2)
Compound: Al2ReRh
Source: the Alexandria database
Functional: PBE
Structure: optimized geometry

Computed properties:
E above lowest polymorph ... 0.081 eV/atom
Density of states at the Fermi level ... 4.2 states/eV per cell
Energy of formation ... -0.47 eV/atom

Cell lengths 4.293, 4.293, 4.293 Å; angles 60.00, 60.00, 60.00 degrees
Fractional coordinates of all 4 atoms:
Al (0.750, 0.750, 0.750)
Re (0.500, 0.500, 0.500)
Rh (0.000, 0.000, 0.000)
Al (0.250, 0.250, 0.250)

(3)
Compound: Pr3Sn13Ir4
Source: the Alexandria database
Functional: PBE
Structure: optimized geometry

Computed properties:
Density of states at the Fermi level ... 13.3 states/eV per cell
Energy of formation ... -0.51 eV/atom

Cell lengths 9.837, 9.837, 9.837 Å; angles 90.00, 90.00, 90.00 degrees
Fractional coordinates of all 40 atoms:
Ir (0.250, 0.250, 0.750)
Sn (0.848, 0.000, 0.306)
Sn (0.000, 0.306, 0.152)
Sn (0.000, 0.306, 0.848)
Sn (0.500, 0.500, 0.500)
Sn (0.694, 0.848, 0.000)
Sn (0.152, 0.000, 0.306)
Sn (0.000, 0.694, 0.848)
Sn (0.000, 0.694, 0.152)
Pr (0.000, 0.750, 0.500)
Sn (0.652, 0.194, 0.500)
Ir (0.750, 0.750, 0.250)
Sn (0.500, 0.348, 0.806)
Sn (0.000, 0.000, 0.000)
Sn (0.152, 0.000, 0.694)
Ir (0.250, 0.750, 0.750)
Ir (0.750, 0.250, 0.250)
Ir (0.250, 0.250, 0.250)
Sn (0.306, 0.152, 0.000)
Sn (0.500, 0.652, 0.194)
Sn (0.194, 0.500, 0.652)
Pr (0.250, 0.500, 0.000)
Sn (0.848, 0.000, 0.694)
Sn (0.306, 0.848, 0.000)
Sn (0.500, 0.348, 0.194)
Ir (0.250, 0.750, 0.250)
Sn (0.348, 0.806, 0.500)
Sn (0.194, 0.500, 0.348)
Sn (0.806, 0.500, 0.652)
Ir (0.750, 0.250, 0.750)
Pr (0.500, 0.000, 0.250)
Ir (0.750, 0.750, 0.750)
Sn (0.348, 0.194, 0.500)
Pr (0.750, 0.500, 0.000)
Pr (0.500, 0.000, 0.750)
Pr (0.000, 0.250, 0.500)
Sn (0.806, 0.500, 0.348)
Sn (0.500, 0.652, 0.806)
Sn (0.694, 0.152, 0.000)
Sn (0.652, 0.806, 0.500)

(4)
Compound: CdReNi2H
Source: the Alexandria database
Functional: PBE
Structure: optimized geometry

Computed properties:
Density of states at the Fermi level ... 5.1 states/eV per cell
VASP energy ... -3.92 eV per atom

Cell lengths 4.501, 5.437, 4.501 Å; angles 90.00, 90.00, 90.00 degrees
Fractional coordinates of all 5 atoms:
Re (0.000, 0.000, 0.000)
H (0.500, 0.500, 0.500)
Cd (0.000, 0.500, 0.000)
Ni (0.000, 0.000, 0.500)
Ni (0.500, 0.000, 0.000)